Arrangement P

SiNi5H | GGA-PBE | optimized geometry

Summary:
Total magnetic moment, μB/f.u.: 0.0

Lattice parameters (Å, degrees): 8.8777 6.2061 6.7816 90.00 123.29 90.00
Last column: nearest neighbours and their distance in Å.
Space group C2/c (No. 15)
Inequivalent atoms, fractional coordinates:
Si: 0.0000 0.1142 0.2500 (multiplicity 4)  7 Ni 2.20-2.29
Ni: 0.0000 0.4689 0.2500 (multiplicity 4)  2 H 1.71
Ni: 0.0391 0.1939 0.9580 (multiplicity 8)  1 H 1.98
Ni: 0.2418 0.4822 0.1796 (multiplicity 8)  1 H 1.80
H: 0.0000 0.5000 0.0000 (multiplicity 4)  4 Ni 1.71-1.80



Arrangement Q

SiNi5H | GGA-PBE | optimized geometry

Summary:
Total magnetic moment, μB/f.u.: 1.0

Lattice parameters (Å, degrees): 3.4855 3.4855 5.7872 90.00 90.00 90.00
Last column: nearest neighbours and their distance in Å.
Space group P4/mmm (No. 123)
Inequivalent atoms, fractional coordinates:
Si: 0.0000 0.0000 0.0000 (multiplicity 1)  12 Ni 2.45-2.46
Ni: 0.0000 0.5000 0.2967 (multiplicity 4)  2 H 2.10, 1 Ni 2.35
Ni: 0.5000 0.5000 0.0000 (multiplicity 1)  8 Ni 2.45, 4 Si 2.46
H: 0.5000 0.5000 0.5000 (multiplicity 1)  8 Ni 2.10



The structure with the most favorable energy is arrangement Q; the runner-up is 9.8 kJ/mol of atoms above it.



Arrangement P

SiNiH3 | GGA-PBE | optimized geometry

Summary:
Total magnetic moment, μB/f.u.: 0.0

Lattice parameters (Å, degrees): 3.4179 3.4179 3.4179 90.00 90.00 90.00
Last column: nearest neighbours and their distance in Å.
Space group Pm-3m (No. 221)
Inequivalent atoms, fractional coordinates:
Si: 0.0000 0.0000 0.0000 (multiplicity 1)  6 H 1.71
Ni: 0.5000 0.5000 0.5000 (multiplicity 1)  12 H 2.42
H: 0.0000 0.0000 0.5000 (multiplicity 3)  2 Si 1.71



Arrangement Q

SiNiH3 | GGA-PBE | optimized geometry

Summary:
Total magnetic moment, μB/f.u.: 0.0

Lattice parameters (Å, degrees): 3.3725 3.3725 3.3725 90.00 90.00 90.00
Last column: nearest neighbours and their distance in Å.
Space group Pm-3m (No. 221)
Inequivalent atoms, fractional coordinates:
Si: 0.0000 0.0000 0.0000 (multiplicity 1)  12 H 2.38
Ni: 0.5000 0.5000 0.5000 (multiplicity 1)  6 H 1.69
H: 0.0000 0.5000 0.5000 (multiplicity 3)  2 Ni 1.69



The structure with the most favorable energy is arrangement Q; the runner-up is 33.3 kJ/mol of atoms above it.



Arrangement P

Si3NiH | GGA-PBE | optimized geometry

Summary:
Total magnetic moment, μB/f.u.: 0.0

Lattice parameters (Å, degrees): 3.8378 3.8378 3.8378 90.00 90.00 90.00
Last column: nearest neighbours and their distance in Å.
Space group Pm-3m (No. 221)
Inequivalent atoms, fractional coordinates:
Si: 0.0000 0.0000 0.5000 (multiplicity 3)  2 H 1.92
Ni: 0.5000 0.5000 0.5000 (multiplicity 1)  12 Si 2.71
H: 0.0000 0.0000 0.0000 (multiplicity 1)  6 Si 1.92



Arrangement Q

Si3NiH | GGA-PBE | optimized geometry

Summary:
Total magnetic moment, μB/f.u.: 0.0

Lattice parameters (Å, degrees): 4.3410 4.3410 4.3410 90.00 90.00 90.00
Last column: nearest neighbours and their distance in Å.
Space group Pm-3m (No. 221)
Inequivalent atoms, fractional coordinates:
Si: 0.0000 0.0000 0.5000 (multiplicity 3)  2 Ni 2.17
Ni: 0.0000 0.0000 0.0000 (multiplicity 1)  6 Si 2.17
H: 0.5000 0.5000 0.5000 (multiplicity 1)  12 Si 3.07



The structure with the most favorable energy is arrangement P; the runner-up is 30.6 kJ/mol of atoms above it.



Arrangement P

Sm4Ni2H | GGA-PBE | optimized geometry

Summary:
Total magnetic moment, μB/f.u.: 0.0

Lattice parameters (Å, degrees): 13.7157 3.9396 5.8472 90.00 100.38 90.00
Last column: nearest neighbours and their distance in Å.
Space group C2/m (No. 12)
Inequivalent atoms, fractional coordinates:
Sm: 0.0815 0.0000 0.2776 (multiplicity 4)  2 H 2.67, 3 Ni 2.84-2.99
Sm: 0.1538 0.5000 0.8133 (multiplicity 4)  1 H 2.54, 2 Ni 2.82
Ni: 0.2331 0.5000 0.3650 (multiplicity 4)  2 Ni 2.51
H: 0.0000 0.5000 0.0000 (multiplicity 2)  6 Sm 2.54-2.67



Arrangement Q

Sm4Ni2H | GGA-PBE | optimized geometry

Summary:
Total magnetic moment, μB/f.u.: 0.0

Lattice parameters (Å, degrees): 4.7808 4.7808 13.7791 90.00 90.00 90.00
Last column: nearest neighbours and their distance in Å.
Space group I4/mmm (No. 139)
Inequivalent atoms, fractional coordinates:
Sm: 0.0000 0.0000 0.1964 (multiplicity 4)  1 Ni 2.62, 1 H 2.71
Sm: 0.0000 0.5000 0.0000 (multiplicity 4)  2 H 2.39
Ni: 0.0000 0.0000 0.3865 (multiplicity 4)  5 Sm 2.62-2.86
H: 0.0000 0.0000 0.0000 (multiplicity 2)  4 Sm 2.39



The structure with the most favorable energy is arrangement P; the runner-up is 10.3 kJ/mol of atoms above it.



Arrangement P

Ni3SnH | GGA-PBE | optimized geometry

Summary:
Total magnetic moment, μB/f.u.: 0.0

Lattice parameters (Å, degrees): 6.5285 6.5285 9.2698 90.00 90.00 120.00
Last column: nearest neighbours and their distance in Å.
Space group R-3c (No. 167, hexagonal axes)
Inequivalent atoms, fractional coordinates:
Ni: 0.0000 0.2488 0.2500 (multiplicity 18)  1 H 1.62
Sn: 0.0000 0.0000 0.0000 (multiplicity 6)  2 H 2.32
H: 0.0000 0.0000 0.2500 (multiplicity 6)  3 Ni 1.62



Arrangement Q

Ni3SnH | GGA-PBE | optimized geometry

Summary:
Total magnetic moment, μB/f.u.: 0.0

Lattice parameters (Å, degrees): 5.2682 7.8692 5.2613 90.00 90.00 90.00
Last column: nearest neighbours and their distance in Å.
Space group Cmcm (No. 63)
Inequivalent atoms, fractional coordinates:
Ni: 0.0000 0.2385 0.2500 (multiplicity 4)  1 H 1.63
Ni: 0.2443 0.5000 0.0000 (multiplicity 8)  2 H 1.89
Sn: 0.0000 0.2360 0.7500 (multiplicity 4)  1 H 2.50, 12 Ni 2.63-2.78
H: 0.0000 0.4458 0.2500 (multiplicity 4)  1 Ni 1.63



The structure with the most favorable energy is arrangement Q; the runner-up is 15.7 kJ/mol of atoms above it.



Arrangement P

Ni3SnH | GGA-PBE | optimized geometry

Summary:
Total magnetic moment, μB/f.u.: 0.0

Lattice parameters (Å, degrees): 4.8954 4.8954 9.8585 90.00 90.00 90.00
Last column: nearest neighbours and their distance in Å.
Space group I-4m2 (No. 119)
Inequivalent atoms, fractional coordinates:
Ni: 0.0000 0.0000 0.1337 (multiplicity 4)  2 Sn 2.49, 7 Ni 2.53-2.75, 2 H 2.70
Ni: 0.0000 0.2448 0.6398 (multiplicity 8)  2 H 1.66-1.83
Sn: 0.0000 0.5000 0.0898 (multiplicity 4)  8 Ni 2.49-2.77, 2 H 2.60
H: 0.0000 0.0000 0.5000 (multiplicity 2)  4 Ni 1.83
H: 0.0000 0.5000 0.7500 (multiplicity 2)  4 Ni 1.66



Arrangement Q

Ni3SnH | GGA-PBE | optimized geometry

Summary:
Total magnetic moment, μB/f.u.: 0.0

Lattice parameters (Å, degrees): 11.8782 7.6454 5.2459 90.00 102.99 90.00
Last column: nearest neighbours and their distance in Å.
Space group C2/c (No. 15)
Inequivalent atoms, fractional coordinates:
Ni: 0.1708 0.1692 0.0762 (multiplicity 8)  1 H 1.88
Ni: 0.1714 0.1701 0.5958 (multiplicity 8)  2 H 1.80-1.89
Ni: 0.1741 0.4996 0.0865 (multiplicity 8)  2 H 1.79-1.80
Sn: 0.0000 0.0729 0.2500 (multiplicity 4)  4 Ni 2.51-2.52
Sn: 0.0000 0.3584 0.7500 (multiplicity 4)  8 Ni 2.63-2.76
H: 0.1735 0.3398 0.3352 (multiplicity 8)  5 Ni 1.79-1.89



Arrangement R

Ni3SnH | GGA-PBE | optimized geometry

Summary:
Total magnetic moment, μB/f.u.: 0.0

Lattice parameters (Å, degrees): 3.7749 3.7749 3.7749 90.00 90.00 90.00
Last column: nearest neighbours and their distance in Å.
Space group Pm-3m (No. 221)
Inequivalent atoms, fractional coordinates:
Ni: 0.0000 0.0000 0.5000 (multiplicity 3)  2 H 1.89
Sn: 0.5000 0.5000 0.5000 (multiplicity 1)  12 Ni 2.67
H: 0.0000 0.0000 0.0000 (multiplicity 1)  6 Ni 1.89



Arrangement S

Ni3SnH | GGA-PBE | optimized geometry

Summary:
Total magnetic moment, μB/f.u.: 0.2

Lattice parameters (Å, degrees): 3.4462 3.4462 6.1471 90.00 90.00 90.00
Last column: nearest neighbours and their distance in Å.
Space group P4mm (No. 99)
Inequivalent atoms, fractional coordinates:
Ni: 0.0000 0.0000 0.0000 (multiplicity 1)  4 Ni 2.43, 1 Sn 2.45
Ni: 0.0000 0.5000 0.7210 (multiplicity 2)  2 H 1.74
Sn: 0.0000 0.0000 0.3983 (multiplicity 1)  5 Ni 2.45-2.63
H: 0.5000 0.5000 0.7596 (multiplicity 1)  4 Ni 1.74



The structure with the most favorable energy is arrangement R; the runner-up is 14.4 kJ/mol of atoms above it.



Arrangement P

Ni3SnH | GGA-PBE | optimized geometry

Summary:
Total magnetic moment, μB/f.u.: 0.0

Lattice parameters (Å, degrees): 4.7416 6.9233 7.1902 90.00 90.00 90.00
Last column: nearest neighbours and their distance in Å.
Space group Pnma (No. 62)
Inequivalent atoms, fractional coordinates:
Ni: 0.0257 0.0735 0.1577 (multiplicity 8)  1 H 1.68
Ni: 0.2037 0.2500 0.8112 (multiplicity 4)  1 H 1.69
Sn: 0.0000 0.0000 0.5000 (multiplicity 4)  8 Ni 2.52-2.79
H: 0.0109 0.7500 0.0010 (multiplicity 4)  3 Ni 1.68-1.69



Arrangement Q

Ni3SnH | GGA-PBE | optimized geometry

Summary:
Total magnetic moment, μB/f.u.: 0.0

Lattice parameters (Å, degrees): 4.6108 5.0819 5.3384 78.79 89.79 64.99
Last column: nearest neighbours and their distance in Å.
Space group P-1 (No. 2)
Inequivalent atoms, fractional coordinates:
Ni: 0.1976 0.2476 0.2026 (multiplicity 2)  1 H 1.67
Ni: 0.2750 0.7541 0.0520 (multiplicity 2)  2 H 1.71-1.73
Ni: 0.2769 0.7566 0.5452 (multiplicity 2)  1 H 1.70
Sn: 0.2315 0.2304 0.7110 (multiplicity 2)  11 Ni 2.63-2.74, 1 H 2.76
H: 0.4727 0.3820 0.1800 (multiplicity 2)  4 Ni 1.67-1.73



Arrangement R

Ni3SnH | GGA-PBE | optimized geometry

Summary:
Total magnetic moment, μB/f.u.: 0.0

Lattice parameters (Å, degrees): 9.0105 5.2944 6.3035 90.00 132.61 90.00
Last column: nearest neighbours and their distance in Å.
Space group C2/m (No. 12)
Inequivalent atoms, fractional coordinates:
Ni: 0.0383 0.2352 0.3291 (multiplicity 8)  1 H 1.68
Ni: 0.2211 0.5000 0.1860 (multiplicity 4)  2 H 1.72-1.78
Sn: 0.2303 0.0000 0.1908 (multiplicity 4)  11 Ni 2.63-2.72, 1 H 2.72
H: 0.0218 0.5000 0.1686 (multiplicity 4)  4 Ni 1.68-1.78



Arrangement S

Ni3SnH | GGA-PBE | optimized geometry

Summary:
Total magnetic moment, μB/f.u.: 0.0

Lattice parameters (Å, degrees): 12.0024 3.7910 5.9419 90.00 113.82 90.00
Last column: nearest neighbours and their distance in Å.
Space group C2/m (No. 12)
Inequivalent atoms, fractional coordinates:
Ni: 0.0361 0.0000 0.2157 (multiplicity 4)  1 H 1.66
Ni: 0.1381 0.0000 0.6783 (multiplicity 4)  1 H 1.71
Ni: 0.1709 0.5000 0.4309 (multiplicity 4)  1 H 1.68
Sn: 0.1299 0.5000 0.9661 (multiplicity 4)  6 Ni 2.58-2.73
H: 0.1767 0.0000 0.4317 (multiplicity 4)  3 Ni 1.66-1.71



The structure with the most favorable energy is arrangement R; the runner-up is 1.3 kJ/mol of atoms above it.



Arrangement P

Ni3SnH | GGA-PBE | optimized geometry

Summary:
Total magnetic moment, μB/f.u.: 0.0

Lattice parameters (Å, degrees): 4.3658 5.2495 4.7748 90.00 93.09 90.00
Last column: nearest neighbours and their distance in Å.
Space group P2_1/m (No. 11)
Inequivalent atoms, fractional coordinates:
Ni: 0.2469 0.2500 0.1678 (multiplicity 2)  1 H 1.63
Ni: 0.2498 0.5009 0.6564 (multiplicity 4)  2 H 1.79-1.95
Sn: 0.2664 0.7500 0.1495 (multiplicity 2)  1 H 2.43, 8 Ni 2.62-2.69
H: 0.0648 0.2500 0.4577 (multiplicity 2)  3 Ni 1.63-1.79



Arrangement Q

Ni3SnH | GGA-PBE | optimized geometry

Summary:
Total magnetic moment, μB/f.u.: 1.8

Lattice parameters (Å, degrees): 4.7732 4.7732 4.7732 90.00 90.00 90.00
Last column: nearest neighbours and their distance in Å.
Space group Pm-3m (No. 221)
Inequivalent atoms, fractional coordinates:
Ni: 0.0000 0.0000 0.5000 (multiplicity 3)  2 Sn 2.39
Sn: 0.0000 0.0000 0.0000 (multiplicity 1)  6 Ni 2.39
H: 0.5000 0.5000 0.5000 (multiplicity 1)  12 Ni 3.38



Arrangement R

Ni3SnH | GGA-PBE | optimized geometry

Summary:
Total magnetic moment, μB/f.u.: 0.0

Lattice parameters (Å, degrees): 9.8367 9.8367 9.8367 90.00 90.00 90.00
Last column: nearest neighbours and their distance in Å.
Space group Fd-3m (No. 227, origin choice 2)
Inequivalent atoms, fractional coordinates:
Ni: 0.0592 0.3750 0.3750 (multiplicity 48)  2 H 1.83
Sn: 0.0000 0.0000 0.5000 (multiplicity 16)  6 Ni 2.56
H: 0.0000 0.0000 0.0000 (multiplicity 16)  6 Ni 1.83



Arrangement S

Ni3SnH | GGA-PBE | optimized geometry

Summary:
Total magnetic moment, μB/f.u.: 0.0

Lattice parameters (Å, degrees): 2.9981 2.9981 15.3130 90.00 90.00 120.00
Last column: nearest neighbours and their distance in Å.
Space group P6_3/mmc (No. 194)
Inequivalent atoms, fractional coordinates:
Ni: 0.0000 0.0000 0.2500 (multiplicity 2)  3 H 1.73
Ni: 0.3333 0.6667 0.1282 (multiplicity 4)  1 H 1.86
Sn: 0.0000 0.0000 0.0000 (multiplicity 2)  6 Ni 2.62
H: 0.3333 0.6667 0.2500 (multiplicity 2)  5 Ni 1.73-1.86



The structure with the most favorable energy is arrangement P; the runner-up is 7.1 kJ/mol of atoms above it.